DFT (PBE-GGA) results for a geometry-optimized TcP2 structure.

Unit cell a=3.9786 b=3.9786 c=2.9897 alpha=90.00 beta=90.00 gamma=90.00
Last column: nearest neighbours and their distance in Å.
Fractional positions:
P: 0.0000 0.5000 0.5000  4 Tc 2.49
P: 0.5000 0.0000 0.5000  4 Tc 2.49
Tc: 0.0000 0.0000 0.0000  8 P 2.49

Calculated values
Its space group is P4/mmm (123). The value obtained for the density of states at the Fermi level is 0.816 states/eV per atom. The value obtained for the volume is 47 Å³/cell. For the formation energy, the calculation gives 0.257 eV per atom. The value obtained for the final energy is -20.41 eV per cell.